1.
Compound: CaSc2O4
Source: Alexandria via LeMat-Bulk
Functional: PBE
Structure: relaxed

Values from the calculation:
The energy above the most stable polymorph in this dataset comes out at 0 meV/atom. For the formation energy (no corrections), the calculation gives -3385 meV per atom.

Cell and atoms, written as extended XYZ:
```
28
Lattice="3.1626 0.0000 0.0000 0.0000 9.5341 0.0000 0.0000 0.0000 11.1854" Properties=species:S:1:pos:R:3 pbc="T T T"
O 2.3719 6.7427 3.6743
O 0.7906 0.7643 10.3423
Sc 0.7906 5.4329 4.3352
O 0.7906 7.5584 9.2669
Sc 0.7906 5.5319 9.9872
O 0.7906 2.7914 7.5111
Ca 0.7906 2.3273 3.8905
O 2.3719 0.2175 8.0088
Ca 2.3719 2.4397 9.4832
Sc 2.3719 8.8682 9.9279
O 2.3719 1.9757 1.9184
Sc 0.7906 0.6659 1.2575
Sc 2.3719 8.7692 4.3946
O 2.3719 8.7698 0.8431
O 2.3719 4.0028 4.7496
Ca 0.7906 7.0943 1.7022
O 0.7906 4.5495 2.4161
O 0.7906 8.3600 5.8657
Sc 2.3719 4.1012 6.8501
O 2.3719 4.9845 8.7692
O 0.7906 3.5930 10.9124
Sc 2.3719 4.0022 1.1981
O 0.7906 9.3166 3.1766
O 2.3719 5.9411 0.2730
O 2.3719 1.1741 5.3197
Sc 0.7906 0.7649 6.7908
O 0.7906 5.5313 6.4357
Ca 2.3719 7.2068 7.2949
```

2.
Compound: SrSbTe2Ir
Source: Alexandria via LeMat-Bulk
Functional: PBE
Structure: relaxed

Values from the calculation:
The energy above the most stable polymorph in this dataset comes out at 1783 meV/atom. For the formation energy (no corrections), the calculation gives 1506 meV per atom.

Cell and atoms, written as extended XYZ:
```
5
Lattice="-5.5869 -1.1994 1.6747 0.5516 -5.5353 -2.1243 2.0130 -1.8643 5.3803" Properties=species:S:1:pos:R:3 pbc="T T T"
Te -2.7934 -0.5997 0.8374
Ir -1.5111 -4.2995 2.4653
Te 0.2758 -2.7676 -1.0622
Sb 1.0065 -0.9321 2.6901
Sr 0.0000 0.0000 0.0000
```

3.
Compound: Th4POsS2
Source: Alexandria via LeMat-Bulk
Functional: PBE
Structure: relaxed

Values from the calculation:
For the formation energy (no corrections), the calculation gives -1365 meV per atom.

Cell and atoms, written as extended XYZ:
```
8
Lattice="-1.7444 -0.4687 3.6317 3.1585 -6.4916 0.6793 4.3429 5.0045 2.7320" Properties=species:S:1:pos:R:3 pbc="T T T"
Th 3.3534 -3.6125 1.1445
Th 4.7774 -1.3142 4.3902
Th 4.1480 2.1255 2.2668
Th 0.9796 -0.6416 2.6528
S 1.2992 2.2679 3.1819
Os 0.7070 -3.4802 2.1555
P 0.0000 0.0000 0.0000
S 3.7507 -0.7435 1.7056
```

4.
Compound: NpV2W
Source: Alexandria via LeMat-Bulk
Functional: PBE
Structure: relaxed

Values from the calculation:
The formation energy from the elements is 0.269 eV/atom. The energy above the most stable polymorph in this dataset comes out at 0 meV/atom.

Cell and atoms, written as extended XYZ:
```
4
Lattice="-0.3908 -2.3988 1.8813 0.5256 -1.9213 -2.3407 6.6797 0.0536 1.4560" Properties=species:S:1:pos:R:3 pbc="T T T"
W 3.4072 -2.1333 0.4983
V 4.8443 0.0389 1.0559
Np 0.0674 -2.1601 -0.2297
V 1.8353 0.0147 0.4000
```

The records above give, respectively, D(E_F) values of 0.00 1.83 0.71 1.52 states/eV/atom.
The records above give, respectively, calculated volume values of 12.0 42.8 24.9 16.1 Å³ per atom.